[1]
## Rb2SbOF3 (PBE)

Data for a geometry-optimized Rb2SbOF3 structure.

Cell lengths 4.328, 4.702, 7.867 Å; angles 107.39, 105.97, 90.00 degrees
Fractional coordinates of all 7 atoms:
Rb 0.354 0.354 0.708
F 0.160 0.160 0.320
Sb 0.000 0.000 0.000
F 0.840 0.840 0.680
F 0.000 0.500 0.000
Rb 0.646 0.646 0.292
O 0.500 0.000 0.000

Output
VASP energy in eV/cell: -32.04
Volume in Å³ per atom: 20.9
Crystal system: orthorhombic

---

[2]
## RbScO2F (PBE)

Data for a geometry-optimized RbScO2F structure.

Cell lengths 4.169, 4.169, 4.412 Å; angles 90.00, 90.00, 90.00 degrees
Fractional coordinates of all 5 atoms:
O 0.000 0.500 0.000
F 0.000 0.000 0.500
O 0.500 0.000 0.000
Sc 0.000 0.000 0.000
Rb 0.500 0.500 0.500

Output
VASP energy in eV/cell: -32.05
Volume in Å³ per atom: 15.3
Crystal system: tetragonal

---

[3]
## RbScO2F (PBE)

Data for a geometry-optimized RbScO2F structure.

Cell lengths 4.515, 4.515, 4.609 Å; angles 90.00, 90.00, 90.00 degrees
Fractional coordinates of all 5 atoms:
O 0.500 0.000 0.000
F 0.000 0.000 0.500
Sc 0.500 0.500 0.500
Rb 0.000 0.000 0.000
O 0.000 0.500 0.000

Output
VASP energy in eV/cell: -20.83
Volume in Å³ per atom: 18.8
Crystal system: tetragonal

---

[4]
## Rb3Sc2Si4O10F5 (PBE)

Data for a geometry-optimized Rb3Sc2Si4O10F5 structure.

Cell lengths 8.403, 9.814, 18.633 Å; angles 90.00, 90.00, 90.00 degrees
Fractional coordinates of all 96 atoms:
O 0.960 0.800 0.740
O 0.514 0.875 0.601
O 0.039 0.058 0.705
Sc 0.500 0.689 0.553
Si 0.436 0.659 0.726
Sc 0.500 0.811 0.053
O 0.481 0.587 0.650
O 0.981 0.413 0.350
O 0.460 0.200 0.260
Rb 0.750 0.637 0.378
Rb 0.250 0.863 0.878
Si 0.564 0.841 0.226
Rb 0.250 0.005 0.516
O 0.019 0.087 0.850
Rb 0.750 0.362 0.627
Si 0.064 0.159 0.774
Sc 0.000 0.311 0.447
O 0.540 0.800 0.740
F 0.493 0.224 0.545
O 0.960 0.300 0.760
O 0.981 0.913 0.150
O 0.540 0.300 0.760
O 0.514 0.375 0.899
F 0.500 0.000 0.000
Si 0.936 0.425 0.820
F 0.750 0.669 0.549
Si 0.936 0.925 0.680
O 0.014 0.125 0.399
Rb 0.250 0.363 0.622
Rb 0.250 0.638 0.373
O 0.961 0.442 0.205
F 0.000 0.000 0.000
F 0.500 0.500 0.500
O 0.986 0.875 0.601
O 0.986 0.375 0.899
Si 0.936 0.341 0.274
O 0.519 0.913 0.150
O 0.250 0.526 0.186
F 0.507 0.776 0.455
O 0.039 0.558 0.795
F 0.993 0.276 0.045
Sc 0.500 0.311 0.447
F 0.250 0.331 0.451
O 0.250 0.709 0.730
Si 0.064 0.575 0.180
O 0.539 0.442 0.205
F 0.250 0.831 0.049
F 0.000 0.500 0.500
O 0.750 0.474 0.814
F 0.750 0.808 0.042
F 0.493 0.724 0.955
O 0.040 0.700 0.240
O 0.750 0.974 0.686
Si 0.564 0.425 0.820
O 0.019 0.587 0.650
Si 0.064 0.075 0.320
Rb 0.250 0.505 0.984
O 0.250 0.026 0.314
O 0.750 0.791 0.230
O 0.014 0.625 0.101
F 0.250 0.192 0.958
Si 0.936 0.841 0.226
O 0.460 0.700 0.240
F 0.250 0.692 0.542
O 0.481 0.087 0.850
O 0.539 0.942 0.295
F 0.007 0.224 0.545
O 0.486 0.125 0.399
O 0.250 0.209 0.770
Rb 0.750 0.862 0.873
Rb 0.750 0.495 0.016
Sc 0.500 0.189 0.947
F 0.007 0.724 0.955
F 0.507 0.276 0.045
Si 0.564 0.925 0.680
Rb 0.250 0.138 0.127
Si 0.436 0.159 0.774
F 0.993 0.776 0.455
O 0.750 0.291 0.270
Sc 0.000 0.689 0.553
O 0.519 0.413 0.350
F 0.750 0.308 0.458
Si 0.064 0.659 0.726
F 0.750 0.169 0.951
O 0.486 0.625 0.101
Si 0.564 0.341 0.274
Sc 0.000 0.189 0.947
Si 0.436 0.575 0.180
Si 0.436 0.075 0.320
O 0.461 0.058 0.705
Sc 0.000 0.811 0.053
Rb 0.750 0.995 0.484
O 0.461 0.558 0.795
O 0.961 0.942 0.295
Rb 0.750 0.137 0.122
O 0.040 0.200 0.260

Output
VASP energy in eV/cell: -679.48
Volume in Å³ per atom: 16.0
Crystal system: orthorhombic

---

[5]
## Rb2SeOF5 (PBE)

Data for a geometry-optimized Rb2SeOF5 structure.

Cell lengths 6.293, 6.293, 6.293 Å; angles 87.09, 121.69, 121.69 degrees
Fractional coordinates of all 9 atoms:
F 0.000 0.225 0.781
Se 0.000 0.984 0.984
F 0.444 0.225 0.225
F 0.000 0.214 0.214
O 0.000 0.802 0.802
Rb 0.500 0.244 0.744
F 0.000 0.781 0.225
Rb 0.500 0.744 0.244
F 0.556 0.781 0.781

Output
VASP energy in eV/cell: -37.86
Volume in Å³ per atom: 19.0
Crystal system: tetragonal

---

[6]
## RbSeO2F (PBE)

Data for a geometry-optimized RbSeO2F structure.

Cell lengths 4.409, 4.409, 4.831 Å; angles 90.00, 90.00, 90.00 degrees
Fractional coordinates of all 5 atoms:
O 0.500 0.000 0.000
Rb 0.000 0.000 0.000
F 0.000 0.000 0.500
O 0.000 0.500 0.000
Se 0.500 0.500 0.500

Output
VASP energy in eV/cell: -12.08
Volume in Å³ per atom: 18.8
Crystal system: tetragonal

---

[7]
## RbSeO2F (PBE)

Data for a geometry-optimized RbSeO2F structure.

Cell lengths 3.938, 3.938, 4.777 Å; angles 90.00, 90.00, 90.00 degrees
Fractional coordinates of all 5 atoms:
O 0.500 0.000 0.000
F 0.000 0.000 0.500
Rb 0.500 0.500 0.500
O 0.000 0.500 0.000
Se 0.000 0.000 0.000

Output
VASP energy in eV/cell: -22.07
Volume in Å³ per atom: 14.8
Crystal system: tetragonal

---

[8]
## Rb5SeO4F2 (PBE)

Data for a geometry-optimized Rb5SeO4F2 structure.

Cell lengths 6.701, 6.232, 8.077 Å; angles 90.00, 90.00, 122.52 degrees
Fractional coordinates of all 12 atoms:
Rb 0.717 0.629 0.762
Rb 0.087 0.371 0.762
O 0.573 0.000 0.815
Se 0.415 0.000 0.000
O 0.573 0.000 0.185
O 0.115 0.728 0.000
Rb 0.405 0.000 0.500
Rb 0.717 0.629 0.238
F 0.378 0.427 0.500
O 0.387 0.272 0.000
Rb 0.087 0.371 0.238
F 0.951 0.573 0.500

Output
VASP energy in eV/cell: -52.16
Volume in Å³ per atom: 23.7
Crystal system: orthorhombic